1.
DFT (PBE) results for an optimized crystal structure of YCdP.

Crystal system   cubic
Formation enthalpy at 0 K   -0.335 eV/atom
Energy relative to the lowest polymorph listed for this composition   0.4181 eV/atom
Calculated volume   26.39 Å³ per atom
Total energy   -13.8 eV for the cell shown

Cell: 4.820 4.820 4.820 Å, 60.00 60.00 60.00°
Fractional positions:
Y (0.000, 0.000, 0.000)
Cd (0.250, 0.250, 0.250)
P (0.750, 0.750, 0.750)

2.
DFT (PBE) results for an optimized crystal structure of Tl2WAu.

Crystal system   tetragonal
Formation enthalpy at 0 K   0.915 eV/atom
Energy relative to the lowest polymorph listed for this composition   0.3418 eV/atom
Calculated volume   20.63 Å³ per atom
Total energy   -17.3 eV for the cell shown

Cell: 3.567 3.567 6.484 Å, 90.00 90.00 90.00°
Fractional positions:
Tl (0.000, 0.000, 0.240)
Tl (0.000, 0.000, 0.760)
W (0.500, 0.500, 0.000)
Au (0.500, 0.500, 0.500)

3.
DFT (PBE) results for an optimized crystal structure of Ce2PaSn9.

Crystal system   tetragonal
Formation enthalpy at 0 K   -0.461 eV/atom
Calculated volume   25.83 Å³ per atom
Total energy   -62.9 eV for the cell shown

Cell: 4.689 4.689 14.098 Å, 90.00 90.00 90.00°
Fractional positions:
Ce (0.000, 0.000, 0.170)
Ce (0.000, 0.000, 0.830)
Pa (0.000, 0.000, 0.500)
Sn (0.000, 0.500, 0.000)
Sn (0.000, 0.500, 0.336)
Sn (0.000, 0.500, 0.664)
Sn (0.500, 0.000, 0.000)
Sn (0.500, 0.000, 0.336)
Sn (0.500, 0.000, 0.664)
Sn (0.500, 0.500, 0.167)
Sn (0.500, 0.500, 0.500)
Sn (0.500, 0.500, 0.833)

4.
DFT (PBE) results for an optimized crystal structure of Li5BeF8.

Crystal system   cubic
Energy relative to the lowest polymorph listed for this composition   0.0106 eV/atom
Uncorrected formation energy   -2.748 eV/atom
Calculated volume   9.48 Å³ per atom
Total energy   -66.7 eV for the cell shown

Cell: 5.725 5.725 5.725 Å, 60.00 60.00 60.00°
Fractional positions:
Li (0.000, 0.000, 0.000)
Li (0.118, 0.627, 0.627)
Li (0.627, 0.118, 0.627)
Li (0.627, 0.627, 0.118)
Li (0.627, 0.627, 0.627)
Be (0.250, 0.250, 0.250)
F (0.365, 0.365, 0.365)
F (0.365, 0.365, 0.905)
F (0.365, 0.905, 0.365)
F (0.396, 0.868, 0.868)
F (0.868, 0.396, 0.868)
F (0.868, 0.868, 0.396)
F (0.868, 0.868, 0.868)
F (0.905, 0.365, 0.365)

5.
DFT (PBE) results for an optimized crystal structure of LaAl4Cu2Si.

Crystal system   orthorhombic
Uncorrected formation energy   -0.343 eV/atom
Calculated volume   18.00 Å³ per atom
Total energy   -36.3 eV for the cell shown

Cell: 4.254 4.262 7.942 Å, 90.00 90.00 90.00°
Fractional positions:
La (0.000, 0.000, 0.000)
Al (0.000, 0.500, 0.341)
Al (0.000, 0.500, 0.681)
Al (0.500, 0.000, 0.349)
Al (0.500, 0.500, 0.143)
Cu (0.000, 0.000, 0.518)
Cu (0.500, 0.500, 0.840)
Si (0.500, 0.000, 0.687)

6.
DFT (PBE) results for an optimized crystal structure of Cu2BrN2.

Crystal system   monoclinic
Uncorrected formation energy   0.244 eV/atom
Calculated volume   26.36 Å³ per atom
Total energy   -25.3 eV for the cell shown

Cell: 5.883 5.883 7.547 Å, 107.34 107.34 32.05°
Fractional positions:
Cu (0.172, 0.172, 0.000)
Cu (0.828, 0.828, 0.000)
Br (0.500, 0.500, 0.000)
N (0.051, 0.051, 0.533)
N (0.949, 0.949, 0.467)

7.
DFT (PBE) results for an optimized crystal structure of NpGaRh3.

Crystal system   orthorhombic
Formation enthalpy at 0 K   -0.320 eV/atom
Calculated volume   17.24 Å³ per atom
Total energy   -79.2 eV for the cell shown

Cell: 6.839 6.839 4.953 Å, 90.00 90.00 131.90°
Fractional positions:
Np (0.138, 0.862, 0.750)
Np (0.862, 0.138, 0.250)
Ga (0.500, 0.500, 0.000)
Ga (0.500, 0.500, 0.500)
Rh (0.106, 0.384, 0.750)
Rh (0.322, 0.678, 0.250)
Rh (0.384, 0.106, 0.250)
Rh (0.616, 0.894, 0.750)
Rh (0.678, 0.322, 0.750)
Rh (0.894, 0.616, 0.250)

8.
DFT (PBE) results for an optimized crystal structure of SmGdIr4.

Crystal system   cubic
Formation enthalpy at 0 K   -0.763 eV/atom
Calculated volume   18.52 Å³ per atom
Total energy   -58.8 eV for the cell shown

Cell: 5.396 5.396 5.396 Å, 60.00 60.00 60.00°
Fractional positions:
Sm (0.000, 0.000, 0.000)
Gd (0.250, 0.250, 0.250)
Ir (0.125, 0.625, 0.625)
Ir (0.625, 0.125, 0.625)
Ir (0.625, 0.625, 0.125)
Ir (0.625, 0.625, 0.625)